(1)
TiBeNb2Ag | GGA-PBE | relaxed

Computed properties:
Magnetic moment: 0.000 μB/f.u.
ΔH_f (0 K): 1.189 eV per atom

```
data_TiBeNb2Ag
_symmetry_space_group_name_H-M 'P 4/m m m'
_symmetry_Int_Tables_number 123
_symmetry_space_group_name_Hall '-P 4 2'
_cell_length_a 4.650
_cell_length_b 4.650
_cell_length_c 4.516
_cell_angle_alpha 90.00
_cell_angle_beta 90.00
_cell_angle_gamma 90.00
loop_
_atom_site_label
_atom_site_type_symbol
_atom_site_fract_x
_atom_site_fract_y
_atom_site_fract_z
Ti1 Ti 0.000 0.000 0.000
Be1 Be 0.000 0.000 0.500
Nb1 Nb 0.000 0.500 0.000
Ag1 Ag 0.500 0.500 0.500
```

***

(2)
Ga2SbI | GGA-PBE | relaxed

Computed properties:
Magnetic moment: 0.000 μB/f.u.
Energy relative to the elements, uncorrected: 14 kJ/mol of atoms
Energy relative to the lowest polymorph listed for this composition: 79 meV per atom

```
data_Ga2SbI
_symmetry_space_group_name_H-M 'F m -3 m'
_symmetry_Int_Tables_number 225
_symmetry_space_group_name_Hall '-F 4 2 3'
_cell_length_a 7.523
_cell_length_b 7.523
_cell_length_c 7.523
_cell_angle_alpha 90.00
_cell_angle_beta 90.00
_cell_angle_gamma 90.00
loop_
_atom_site_label
_atom_site_type_symbol
_atom_site_fract_x
_atom_site_fract_y
_atom_site_fract_z
Ga1 Ga 0.250 0.250 0.250
Sb1 Sb 0.000 0.000 0.000
I1 I 0.000 0.000 0.500
```

***

(3)
IrSe2I | GGA-PBE | relaxed

Computed properties:
Magnetic moment: 0.000 μB/f.u.
Energy relative to the elements, uncorrected: 38 kJ/mol of atoms
Energy relative to the lowest polymorph listed for this composition: 551 meV per atom

```
data_IrSe2I
_symmetry_space_group_name_H-M 'R -3 m'
_symmetry_Int_Tables_number 166
_symmetry_space_group_name_Hall '-R 3 2"'
_cell_length_a 3.0207
_cell_length_b 3.0207
_cell_length_c 39.2166
_cell_angle_alpha 90.00
_cell_angle_beta 90.00
_cell_angle_gamma 120.00
loop_
_atom_site_label
_atom_site_type_symbol
_atom_site_fract_x
_atom_site_fract_y
_atom_site_fract_z
Ir1 Ir 0.0000 0.0000 0.0000
Se1 Se 0.0000 0.0000 0.0608
I1 I 0.0000 0.0000 0.5000
```

***

(4)
In2SiRh | GGA-PBE | relaxed

Computed properties:
Magnetic moment: 0.000 μB/f.u.
Energy relative to the elements, uncorrected: -18 kJ/mol of atoms

```
data_In2SiRh
_symmetry_space_group_name_H-M 'P 1 m 1'
_symmetry_Int_Tables_number 6
_cell_length_a 3.989
_cell_length_b 3.928
_cell_length_c 5.305
_cell_angle_alpha 90.00
_cell_angle_beta 111.93
_cell_angle_gamma 90.00
loop_
_symmetry_equiv_pos_as_xyz
'x,y,z'
'x,-y,z'
loop_
_atom_site_label
_atom_site_type_symbol
_atom_site_fract_x
_atom_site_fract_y
_atom_site_fract_z
In1 In 0.000 0.000 0.000
In2 In 0.301 0.500 0.604
Si1 Si 0.579 0.500 0.158
Rh1 Rh 0.714 0.000 0.429
```